Entry from Alexandria: an optimized crystal structure of Ca2BeTc (PBE).

The structure in POSCAR format:
```
Ca2BeTc
1.0
3.9752 0.0000 0.0000
0.0000 4.2403 0.0000
0.0000 0.0000 10.9888
Ca Be Tc
4 2 2
Direct
0.0000 0.0000 0.0000
0.0000 0.5000 0.5000
0.5000 0.0000 0.2823
0.5000 0.5000 0.7823
0.5000 0.0000 0.5962
0.5000 0.5000 0.0962
0.0000 0.0000 0.6896
0.0000 0.5000 0.1896
```

* M_tot: 0.001 μB per atom
* symmetry: Amm2
* total energy: -0.1536 hartree per atom
* calculated volume: 23.154 Å³ per atom